1.
Compound: BeBiSb3
Source: Alexandria via LeMat-Bulk
Functional: PBE
Structure: optimized geometry Values from VASP.

Structure (Quantum ESPRESSO input):
```
&SYSTEM
  ibrav = 0, nat = 5, ntyp = 3
/
ATOMIC_SPECIES
Be 9.01 Be.upf
Bi 208.98 Bi.upf
Sb 121.76 Sb.upf
ATOMIC_POSITIONS crystal
Be 0.000 0.000 0.000
Bi 0.500 0.500 0.500
Sb 0.000 0.500 0.500
Sb 0.500 0.000 0.500
Sb 0.500 0.500 0.000
CELL_PARAMETERS angstrom
5.868 0.000 0.000
0.000 5.868 0.000
0.000 0.000 5.868
```

Output
* volume: 40.41 A^3/atom
* total moment: 0.00 μB per cell
* formation energy from raw total energies: 142.6 kJ per mole of atoms
* DOS(E_F): 1.604 states/eV per atom
* raw total energy: -12.6 eV/cell

***

2.
Compound: Be2BiSb
Source: Alexandria via LeMat-Bulk
Functional: PBE
Structure: optimized geometry Values from VASP.

Structure (Quantum ESPRESSO input):
```
&SYSTEM
  ibrav = 0, nat = 4, ntyp = 3
/
ATOMIC_SPECIES
Be 9.01 Be.upf
Bi 208.98 Bi.upf
Sb 121.76 Sb.upf
ATOMIC_POSITIONS crystal
Be 0.250 0.250 0.250
Be 0.750 0.750 0.750
Bi 0.000 0.000 0.000
Sb 0.500 0.500 0.500
CELL_PARAMETERS angstrom
0.000 3.400 3.400
3.400 0.000 3.400
3.400 3.400 0.000
```

Output
* volume: 19.65 A^3/atom
* total moment: 0.00 μB per cell
* formation energy from raw total energies: 74.6 kJ per mole of atoms
* DOS(E_F): 0.834 states/eV per atom
* raw total energy: -12.4 eV/cell

***

3.
Compound: Be2BiSb
Source: Alexandria via LeMat-Bulk
Functional: PBE
Structure: optimized geometry Values from VASP.

Structure (Quantum ESPRESSO input):
```
&SYSTEM
  ibrav = 0, nat = 8, ntyp = 3
/
ATOMIC_SPECIES
Be 9.01 Be.upf
Bi 208.98 Bi.upf
Sb 121.76 Sb.upf
ATOMIC_POSITIONS crystal
Be 0.105 0.625 0.980
Be 0.375 0.355 0.480
Be 0.645 0.125 0.020
Be 0.875 0.895 0.520
Bi 0.250 0.750 0.500
Bi 0.500 0.500 0.000
Sb 0.000 0.000 0.000
Sb 0.750 0.250 0.500
CELL_PARAMETERS angstrom
-2.591 2.591 6.798
2.591 -2.591 6.798
2.591 2.591 -6.798
```

Output
* volume: 22.81 A^3/atom
* total moment: 0.00 μB per cell
* formation energy from raw total energies: 36.4 kJ per mole of atoms
* DOS(E_F): 0.356 states/eV per atom
* raw total energy: -27.9 eV/cell

***

4.
Compound: BeBi2Sb
Source: Alexandria via LeMat-Bulk
Functional: PBE
Structure: optimized geometry Values from VASP.

Structure (Quantum ESPRESSO input):
```
&SYSTEM
  ibrav = 0, nat = 4, ntyp = 3
/
ATOMIC_SPECIES
Be 9.01 Be.upf
Bi 208.98 Bi.upf
Sb 121.76 Sb.upf
ATOMIC_POSITIONS crystal
Be 0.000 0.000 0.000
Bi 0.250 0.250 0.250
Bi 0.750 0.750 0.750
Sb 0.500 0.500 0.500
CELL_PARAMETERS angstrom
0.000 3.739 3.739
3.739 0.000 3.739
3.739 3.739 0.000
```

Output
* volume: 26.13 A^3/atom
* total moment: 0.00 μB per cell
* formation energy from raw total energies: 57.5 kJ per mole of atoms
* DOS(E_F): 0.570 states/eV per atom
* raw total energy: -13.2 eV/cell

***

Which value of volume does entry 3 give?
22.81 A^3/atom